# PBE-GGA BeSnAu2, relaxed
# * density: 12.08 Mg/m³
# * total moment: 0.000 μB/f.u.
# * ΔE to the lowest computed polymorph: 0.000 eV/atom
# * formation energy: -0.044 eV/atom
# * DFT total energy: -3.61 eV per atom
data_BeSnAu2
_symmetry_space_group_name_H-M 'P 4/m m m'
_symmetry_Int_Tables_number 123
_symmetry_space_group_name_Hall '-P 4 2'
_cell_length_a 2.962
_cell_length_b 2.962
_cell_length_c 8.177
_cell_angle_alpha 90.00
_cell_angle_beta 90.00
_cell_angle_gamma 90.00
loop_
_atom_site_label
_atom_site_type_symbol
_atom_site_fract_x
_atom_site_fract_y
_atom_site_fract_z
Be1 Be 0.000 0.000 0.000
Sn1 Sn 0.000 0.000 0.500
Au1 Au 0.500 0.500 0.179

---

# PBE-GGA Tl2GaSnS4, relaxed
# * density: 5.11 Mg/m³
# * total moment: 0.000 μB/f.u.
# * DFT total energy: -3.97 eV per atom
data_Tl2GaSnS4
_symmetry_space_group_name_H-M 'P m n 21'
_symmetry_Int_Tables_number 31
_symmetry_space_group_name_Hall 'P 2ac -2'
_cell_length_a 7.909
_cell_length_b 9.567
_cell_length_c 6.234
_cell_angle_alpha 90.00
_cell_angle_beta 90.00
_cell_angle_gamma 90.00
loop_
_atom_site_label
_atom_site_type_symbol
_atom_site_fract_x
_atom_site_fract_y
_atom_site_fract_z
Tl1 Tl 0.226 0.150 0.000
Ga1 Ga 0.000 0.645 0.934
Sn1 Sn 0.000 0.391 0.456
S1 S 0.000 0.414 0.044
S2 S 0.000 0.650 0.561
S3 S 0.237 0.771 0.024

---

# PBE-GGA Tb3YRh2, relaxed
# * density: 7.87 Mg/m³
# * total moment: 0.000 μB/f.u.
# * ΔE to the lowest computed polymorph: 0.086 eV/atom
# * formation energy: -0.555 eV/atom
# * DFT total energy: -6.40 eV per atom
data_Tb3YRh2
_symmetry_space_group_name_H-M 'I b a m'
_symmetry_Int_Tables_number 72
_symmetry_space_group_name_Hall '-I 2 2c'
_cell_length_a 6.731
_cell_length_b 13.599
_cell_length_c 7.110
_cell_angle_alpha 90.00
_cell_angle_beta 90.00
_cell_angle_gamma 90.00
loop_
_atom_site_label
_atom_site_type_symbol
_atom_site_fract_x
_atom_site_fract_y
_atom_site_fract_z
Tb1 Tb 0.000 0.000 0.250
Tb2 Tb 0.000 0.268 0.250
Y1 Y 0.000 0.500 0.000
Rh1 Rh 0.211 0.139 0.000

---

# PBE-GGA CaAlIn2, relaxed
# * density: 4.79 Mg/m³
# * total moment: 0.000 μB/f.u.
# * formation energy: -0.063 eV/atom
# * DFT total energy: -2.87 eV per atom
data_CaAlIn2
_symmetry_space_group_name_H-M 'C 1 2/m 1'
_symmetry_Int_Tables_number 12
_symmetry_space_group_name_Hall '-C 2y'
_cell_length_a 6.533
_cell_length_b 10.880
_cell_length_c 3.288
_cell_angle_alpha 90.00
_cell_angle_beta 118.43
_cell_angle_gamma 90.00
loop_
_atom_site_label
_atom_site_type_symbol
_atom_site_fract_x
_atom_site_fract_y
_atom_site_fract_z
Ca1 Ca 0.000 0.000 0.000
Al1 Al 0.000 0.500 0.000
In1 In 0.250 0.250 0.500

---

# PBE-GGA Ti2CrRh, relaxed
# * density: 7.23 Mg/m³
# * total moment: 0.593 μB/f.u.
# * formation energy: -0.436 eV/atom
# * DFT total energy: -8.63 eV per atom
data_Ti2CrRh
_symmetry_space_group_name_H-M 'P 4/m m m'
_symmetry_Int_Tables_number 123
_symmetry_space_group_name_Hall '-P 4 2'
_cell_length_a 4.348
_cell_length_b 4.348
_cell_length_c 3.044
_cell_angle_alpha 90.00
_cell_angle_beta 90.00
_cell_angle_gamma 90.00
loop_
_atom_site_label
_atom_site_type_symbol
_atom_site_fract_x
_atom_site_fract_y
_atom_site_fract_z
Ti1 Ti 0.000 0.500 0.000
Cr1 Cr 0.000 0.000 0.500
Rh1 Rh 0.500 0.500 0.500

---

# PBE-GGA PrLuRh, relaxed
# * density: 8.54 Mg/m³
# * total moment: 0.002 μB/f.u.
# * ΔE to the lowest computed polymorph: 0.000 eV/atom
# * formation energy: -0.513 eV/atom
# * DFT total energy: -6.06 eV per atom
data_PrLuRh
_symmetry_space_group_name_H-M 'F -4 3 m'
_symmetry_Int_Tables_number 216
_symmetry_space_group_name_Hall 'F -4 2 3'
_cell_length_a 6.880
_cell_length_b 6.880
_cell_length_c 6.880
_cell_angle_alpha 90.00
_cell_angle_beta 90.00
_cell_angle_gamma 90.00
loop_
_atom_site_label
_atom_site_type_symbol
_atom_site_fract_x
_atom_site_fract_y
_atom_site_fract_z
Pr1 Pr 0.000 0.000 0.000
Lu1 Lu 0.000 0.000 0.500
Rh1 Rh 0.250 0.250 0.750

---

# PBE-GGA Na14LiTl, relaxed
# * density: 1.63 Mg/m³
# * total moment: 0.000 μB/f.u.
# * formation energy: -0.001 eV/atom
# * DFT total energy: -1.42 eV per atom
data_Na14LiTl
_symmetry_space_group_name_H-M 'A m m 2'
_symmetry_Int_Tables_number 38
_symmetry_space_group_name_Hall 'A 2 -2'
_cell_length_a 11.723
_cell_length_b 8.122
_cell_length_c 11.436
_cell_angle_alpha 90.00
_cell_angle_beta 90.00
_cell_angle_gamma 90.00
loop_
_atom_site_label
_atom_site_type_symbol
_atom_site_fract_x
_atom_site_fract_y
_atom_site_fract_z
Na1 Na 0.000 0.000 0.000
Na2 Na 0.000 0.000 0.493
Na3 Na 0.000 0.243 0.746
Na4 Na 0.250 0.000 0.247
Na5 Na 0.260 0.000 0.751
Na6 Na 0.270 0.248 0.998
Na7 Na 0.500 0.242 0.238
Li1 Li 0.500 0.000 0.492
Tl1 Tl 0.500 0.000 0.983

---

# PBE-GGA PuTlSb2, relaxed
# * density: 8.77 Mg/m³
# * total moment: 5.209 μB/f.u.
# * ΔE to the lowest computed polymorph: 0.221 eV/atom
# * DFT total energy: -6.33 eV per atom
data_PuTlSb2
_symmetry_space_group_name_H-M 'R -3 m'
_symmetry_Int_Tables_number 166
_symmetry_space_group_name_Hall '-R 3 2"'
_cell_length_a 4.7257
_cell_length_b 4.7257
_cell_length_c 20.3266
_cell_angle_alpha 90.00
_cell_angle_beta 90.00
_cell_angle_gamma 120.00
loop_
_atom_site_label
_atom_site_type_symbol
_atom_site_fract_x
_atom_site_fract_y
_atom_site_fract_z
Pu1 Pu 0.0000 0.0000 0.0000
Tl1 Tl 0.0000 0.0000 0.5000
Sb1 Sb 0.0000 0.0000 0.2624

---

# PBE-GGA Dy2Y2Bi3, relaxed
# * density: 7.99 Mg/m³
# * total moment: 0.000 μB/f.u.
# * formation energy: -0.602 eV/atom
# * DFT total energy: -5.43 eV per atom
data_Dy2Y2Bi3
_symmetry_space_group_name_H-M 'P -1'
_symmetry_Int_Tables_number 2
_symmetry_space_group_name_Hall '-P 1'
_cell_length_a 4.444
_cell_length_b 7.469
_cell_length_c 7.502
_cell_angle_alpha 81.44
_cell_angle_beta 89.97
_cell_angle_gamma 72.73
loop_
_atom_site_label
_atom_site_type_symbol
_atom_site_fract_x
_atom_site_fract_y
_atom_site_fract_z
Dy1 Dy 0.118 0.265 0.388
Y1 Y 0.377 0.746 0.140
Bi1 Bi 0.000 0.500 0.000
Bi2 Bi 0.259 0.982 0.749

---

# PBE-GGA SbBrCl2, relaxed
# * density: 3.83 Mg/m³
# * total moment: 0.000 μB/f.u.
# * ΔE to the lowest computed polymorph: 0.556 eV/atom
# * DFT total energy: -2.59 eV per atom
data_SbBrCl2
_symmetry_space_group_name_H-M 'P 4 m m'
_symmetry_Int_Tables_number 99
_symmetry_space_group_name_Hall 'P 4 -2'
_cell_length_a 3.951
_cell_length_b 3.951
_cell_length_c 7.568
_cell_angle_alpha 90.00
_cell_angle_beta 90.00
_cell_angle_gamma 90.00
loop_
_atom_site_label
_atom_site_type_symbol
_atom_site_fract_x
_atom_site_fract_y
_atom_site_fract_z
Sb1 Sb 0.000 0.000 0.000
Br1 Br 0.500 0.500 0.149
Cl1 Cl 0.000 0.000 0.329
Cl2 Cl 0.500 0.500 0.742

---

# PBE-GGA PmDyErTh2, relaxed
# * density: 8.97 Mg/m³
# * total moment: 0.000 μB/f.u.
# * formation energy: 0.417 eV/atom
# * DFT total energy: -5.33 eV per atom
data_PmDyErTh2
_symmetry_space_group_name_H-M 'C m c m'
_symmetry_Int_Tables_number 63
_symmetry_space_group_name_Hall '-C 2c 2'
_cell_length_a 6.664
_cell_length_b 15.640
_cell_length_c 6.667
_cell_angle_alpha 90.00
_cell_angle_beta 90.00
_cell_angle_gamma 90.00
loop_
_atom_site_label
_atom_site_type_symbol
_atom_site_fract_x
_atom_site_fract_y
_atom_site_fract_z
Pm1 Pm 0.000 0.152 0.250
Dy1 Dy 0.000 0.259 0.750
Er1 Er 0.000 0.348 0.250
Th1 Th 0.247 0.500 0.000